Computed, not measured: PRu2Rh after structural relaxation at the PBE level of DFT.

Calculated values
Crystal system: orthorhombic
Total DFT energy (no corrections): -7.77 eV per atom

Unit cell a=2.7863 b=3.6620 c=5.4617 alpha=90.00 beta=90.00 gamma=90.00
Fractional coordinates of all 4 atoms:
1 P 0.0000 0.0000 0.0000
2 Ru 0.0000 0.0000 0.4593
3 Ru 0.5000 0.5000 0.6754
4 Rh 0.5000 0.5000 0.1672